Entry 1:
Compound: YTc2F
Source: Alexandria via LeMat-Bulk
Functional: PBE
Structure: relaxed

Summary:
Mass density, g cm⁻³: 7.42
Energy relative to the elements, uncorrected, eV/atom: 0.743
Energy above the most stable polymorph in this dataset, meV per atom: 453
Density of states at the Fermi level, states/eV per cell: 5.183
Crystal system: cubic
E_tot, eV per cell: -26.09

The structure in POSCAR format:
```
YTc2F
1.0
3.6461 1.6116 2.2601
0.1047 4.3759 1.3565
-0.3347 1.0270 4.4534
Tc Y F
2 1 1
direct
0.2500 0.2500 0.2500
0.7500 0.7500 0.7500
0.5000 0.5000 0.5000
0.0000 0.0000 0.0000
```


Entry 2:
Compound: Nd7Er2Tm3
Source: Alexandria via LeMat-Bulk
Functional: PBE
Structure: relaxed

Summary:
Mass density, g cm⁻³: 7.70
Energy relative to the elements, eV/atom: 0.0724
Energy above the most stable polymorph in this dataset, meV per atom: 0
Density of states at the Fermi level, states/eV per cell: 17.265
Crystal system: monoclinic
E_tot, eV per cell: -55.05

The structure in POSCAR format:
```
Nd7Er2Tm3
1.0
-3.0976 -1.7330 0.1874
1.4524 -3.1818 -5.4166
8.6404 -14.8512 5.4815
Tm Er Nd
3 2 7
direct
0.5000 0.5000 0.0000
0.0000 0.8848 0.6591
0.0000 0.1152 0.3409
0.5000 0.3904 0.6701
0.5000 0.6096 0.3299
0.0000 0.5559 0.1671
0.0000 0.0000 0.0000
0.0000 0.4441 0.8329
0.5000 0.9477 0.8270
0.5000 0.7644 0.4936
0.5000 0.2356 0.5064
0.5000 0.0523 0.1730
```


Entry 3:
Compound: LiMgV
Source: Alexandria via LeMat-Bulk
Functional: PBE
Structure: relaxed

Summary:
Mass density, g cm⁻³: 2.46
Energy relative to the elements, eV/atom: 0.5799
Energy above the most stable polymorph in this dataset, meV per atom: 362
Density of states at the Fermi level, states/eV per cell: 12.696
Crystal system: orthorhombic
E_tot, eV per cell: -43.55

The structure in POSCAR format:
```
LiMgV
1.0
-6.3375 5.0615 1.3839
-3.5347 -4.4763 0.1844
0.7167 -0.3744 4.6514
V Mg Li
4 4 4
direct
0.6667 0.7500 0.9999
0.1667 0.7500 0.5001
0.8333 0.2500 0.4999
0.3333 0.2500 0.0001
0.0000 0.5000 0.0000
0.5000 0.5000 0.5000
0.5000 0.0000 0.5000
0.0000 0.0000 0.0000
0.1663 0.2500 0.5001
0.6663 0.2500 0.9999
0.3337 0.7500 0.0001
0.8337 0.7500 0.4999
```


Entry 4:
Compound: ScAs3Pb
Source: Alexandria via LeMat-Bulk
Functional: PBE
Structure: relaxed

Summary:
Mass density, g cm⁻³: 5.35
Energy relative to the elements, eV/atom: 0.8251
Energy above the most stable polymorph in this dataset, meV per atom: 784
Density of states at the Fermi level, states/eV per cell: 7.188
Crystal system: cubic
E_tot, eV per cell: -19.86

The structure in POSCAR format:
```
ScAs3Pb
1.0
5.2895 0.0000 0.0000
0.0000 5.2895 0.0000
0.0000 0.0000 5.2895
Sc Pb As
1 1 3
direct
0.5000 0.5000 0.5000
0.0000 0.0000 0.0000
0.0000 0.5000 0.0000
0.5000 0.0000 0.0000
0.0000 0.0000 0.5000
```


Entry 5:
Compound: ErPaP2
Source: Alexandria via LeMat-Bulk
Functional: PBE
Structure: relaxed

Summary:
Mass density, g cm⁻³: 6.46
Energy relative to the elements, eV/atom: -0.5871
Energy above the most stable polymorph in this dataset, meV per atom: 865
Density of states at the Fermi level, states/eV per cell: 3.269
Crystal system: trigonal
E_tot, eV per cell: -27.23

The structure in POSCAR format:
```
ErPaP2
1.0
-1.4144 -3.6202 1.3811
-0.1248 -3.2626 -2.5206
6.9157 -4.3311 1.8889
Pa Er P
1 1 2
direct
0.5000 0.5000 0.5000
0.0000 0.0000 0.0000
0.1106 0.1106 0.6683
0.8894 0.8894 0.3317
```


Entry 6:
Compound: DyHoTm2S4
Source: Alexandria via LeMat-Bulk
Functional: PBE
Structure: relaxed

Summary:
Mass density, g cm⁻³: 8.05
Energy relative to the elements, uncorrected, eV/atom: -1.955
Density of states at the Fermi level, states/eV per cell: 4.714
Crystal system: monoclinic
E_tot, eV per cell: -50.27

The structure in POSCAR format:
```
DyHoTm2S4
1.0
3.8325 0.0000 0.0000
0.0000 6.7283 -0.1621
0.0000 2.3411 6.2892
Dy Ho S Tm
1 1 4 2
direct
0.5000 0.5000 0.0000
0.0000 0.5000 0.5000
0.0000 0.2444 0.2528
0.5000 0.2450 0.7508
0.5000 0.7550 0.2492
0.0000 0.7556 0.7472
0.0000 0.0000 0.0000
0.5000 0.0000 0.5000
```


Entry 7:
Compound: PuInTe3
Source: Alexandria via LeMat-Bulk
Functional: PBE
Structure: relaxed

Summary:
Mass density, g cm⁻³: 6.28
Energy relative to the elements, uncorrected, eV/atom: -0.522
Density of states at the Fermi level, states/eV per cell: 48.583
Crystal system: orthorhombic
E_tot, eV per cell: -116.43

The structure in POSCAR format:
```
PuInTe3
1.0
-0.7761 4.2845 -6.3219
1.2078 -6.8725 -4.8059
-11.8758 -2.1077 0.0295
In Te Pu
4 12 4
direct
0.9614 0.8249 0.2500
0.0386 0.1751 0.7500
0.5386 0.3249 0.2500
0.4614 0.6751 0.7500
0.3408 0.3232 0.4459
0.1592 0.8232 0.4459
0.8761 0.4769 0.2500
0.3761 0.0231 0.7500
0.6239 0.9769 0.2500
0.8408 0.1768 0.5541
0.1592 0.8232 0.0541
0.6592 0.6768 0.9459
0.8408 0.1768 0.9459
0.1239 0.5231 0.7500
0.6592 0.6768 0.5541
0.3408 0.3232 0.0541
0.5000 0.0000 0.0000
0.0000 0.5000 0.5000
0.5000 0.0000 0.5000
0.0000 0.5000 0.0000
```


Entry 8:
Compound: DyPuCoOs
Source: Alexandria via LeMat-Bulk
Functional: PBE
Structure: relaxed

Summary:
Mass density, g cm⁻³: 14.21
Energy relative to the elements, eV/atom: -0.0716
Density of states at the Fermi level, states/eV per cell: 4.810
Crystal system: cubic
E_tot, eV per cell: -37.56

The structure in POSCAR format:
```
DyPuCoOs
1.0
4.7679 0.0000 0.0000
2.3839 4.1291 0.0000
2.3839 1.3764 3.8930
Os Dy Co Pu
1 1 1 1
direct
0.2500 0.2500 0.2500
0.5000 0.5000 0.5000
0.7500 0.7500 0.7500
0.0000 0.0000 0.0000
```


Q: What is the density of states at the Fermi level in the third record?
A: 12.696 states/eV per cell